(1)
RbTlAg2Pd | PBE-GGA | optimized geometry

## Properties
ΔH_f (0 K)	65	meV per atom
total energy	-2.781	eV per atom
space-group type	P4/mmm (123)
density of states at the Fermi level	1.513	states/eV per cell

a = 5.395 Å, b = 5.395 Å, c = 5.227 Å
α = 90.00°, β = 90.00°, γ = 90.00°
Element x y z (fractional)
Rb 0.000 0.000 0.000
Tl 0.500 0.500 0.000
Ag 0.000 0.500 0.500
Ag 0.500 0.000 0.500
Pd 0.500 0.500 0.500

(2)
CoSe2Cl | PBE-GGA | optimized geometry

## Properties
total energy	-3.398	eV per atom
offset from the most stable computed form	0.833	eV per atom
space-group type	Cmmm (65)
formation energy without anion corrections	2.33	eV/f.u.
density of states at the Fermi level	5.678	states/eV per cell

a = 6.179 Å, b = 6.179 Å, c = 3.288 Å
α = 90.00°, β = 90.00°, γ = 134.68°
Element x y z (fractional)
Co 0.000 0.000 0.000
Se 0.000 0.500 0.500
Se 0.500 0.000 0.500
Cl 0.500 0.500 0.000

(3)
Tm2Si4Ru5 | PBE-GGA | optimized geometry

## Properties
total energy	-7.726	eV per atom
space-group type	Fmmm (69)
formation energy without anion corrections	-7.97	eV/f.u.
density of states at the Fermi level	4.369	states/eV per cell

a = 8.115 Å, b = 7.067 Å, c = 5.713 Å
α = 78.04°, β = 58.43°, γ = 43.53°
Element x y z (fractional)
Tm 0.129 0.129 0.871
Tm 0.871 0.871 0.129
Si 0.218 0.510 0.490
Si 0.490 0.782 0.218
Si 0.510 0.218 0.782
Si 0.782 0.490 0.510
Ru 0.000 0.000 0.500
Ru 0.250 0.250 0.250
Ru 0.500 0.500 0.000
Ru 0.500 0.500 0.500
Ru 0.750 0.750 0.750

(4)
LaCdAg2 | PBE-GGA | optimized geometry

## Properties
ΔH_f (0 K)	-147	meV per atom
total energy	-3.033	eV per atom
space-group type	Pm (6)
density of states at the Fermi level	2.642	states/eV per cell

a = 3.527 Å, b = 4.696 Å, c = 6.145 Å
α = 90.00°, β = 106.60°, γ = 90.00°
Element x y z (fractional)
La 0.000 0.000 0.000
Cd 0.320 0.500 0.642
Ag 0.606 0.500 0.214
Ag 0.735 0.000 0.476

Question: Among the records above, which one has the highest total energy?
Answer: RbTlAg2Pd